Entry 1:
Below is crystalline TaAs2W at its relaxed geometry, with properties calculated at the PBE level.

Geometry as POSCAR:
```
TaAs2W
1.0
4.4894 0.0000 0.0000
0.0000 4.4894 0.0000
0.0000 0.0000 3.1786
Ta As W
1 2 1
direct
0.5000 0.0000 0.5000
0.5000 0.5000 0.0000
0.0000 0.0000 0.0000
0.0000 0.5000 0.5000
```

Calculated formation energy, kJ/mol of atoms: 2.1
Density, g cm⁻³: 13.339
Space group: P4/mmm, No. 123

Entry 2:
Below is crystalline TaAsW2 at its relaxed geometry, with properties calculated at the PBE level.

Geometry as POSCAR:
```
TaAsW2
1.0
-2.5759 1.5102 1.3615
-2.6446 -1.9750 -2.8127
-0.5070 -3.5277 2.9537
Ta As W
1 1 2
direct
0.0000 0.5000 0.5000
0.5000 0.0000 0.5000
0.0000 0.0000 0.0000
0.5000 0.5000 0.0000
```

Calculated formation energy, kJ/mol of atoms: 23.1
Density, g cm⁻³: 15.718
Space group: Pmmm, No. 47

Entry 3:
Below is crystalline TaAsW2 at its relaxed geometry, with properties calculated at the PBE level.

Geometry as POSCAR:
```
TaAsW2
1.0
4.6206 0.0000 0.0000
0.0000 2.8321 0.0038
0.0000 1.3812 5.0945
As W Ta
1 2 1
direct
0.5000 0.2500 0.2500
0.0000 0.9929 0.0005
0.0000 0.5071 0.4995
0.5000 0.7500 0.7500
```

Calculated formation energy, kJ/mol of atoms: 25.1
Density, g cm⁻³: 15.537
Space group: P2/m, No. 10

Entry 4:
Below is crystalline Ta2AsW at its relaxed geometry, with properties calculated at the PBE level.

Geometry as POSCAR:
```
Ta2AsW
1.0
3.9553 0.0000 0.0000
0.0000 3.9553 0.0000
1.9776 1.9776 9.4306
Ta W As
4 2 2
direct
0.3750 0.3849 0.7500
0.1349 0.6250 0.2500
0.6151 0.1250 0.2500
0.8750 0.8651 0.7500
0.7500 0.2500 0.5000
0.0000 0.0000 0.0000
0.5000 0.5000 0.0000
0.2500 0.7500 0.5000
```

Calculated formation energy, kJ/mol of atoms: 61.4
Density, g cm⁻³: 13.971
Space group: I-42d, No. 122